# KBe2BO3F2 | the Alexandria database | PBEsol | optimized geometry
data_KBe2BO3F2
_cell_length_a 4.4276
_cell_length_b 4.4276
_cell_length_c 18.8219
_cell_angle_alpha 90.00
_cell_angle_beta 90.00
_cell_angle_gamma 120.00
_space_group_name_H-M_alt 'R 3 2'
_space_group_IT_number 155
_space_group_name_Hall 'R 3 2"'
loop_
_atom_site_label
_atom_site_type_symbol
_atom_site_fract_x
_atom_site_fract_y
_atom_site_fract_z
K1 K 0.0000 0.0000 0.0000
Be1 Be 0.0000 0.0000 0.1975
B1 B 0.0000 0.0000 0.5000
O1 O 0.0000 0.3104 0.5000
F1 F 0.0000 0.0000 0.2788
# Formation energy from raw total energies ... -2.8470 eV/atom

# BeBOF2 | the Alexandria database | PBEsol | optimized geometry
data_BeBOF2
_cell_length_a 3.085
_cell_length_b 3.085
_cell_length_c 4.527
_cell_angle_alpha 90.00
_cell_angle_beta 90.00
_cell_angle_gamma 90.00
_space_group_name_H-M_alt 'P 4/m m m'
_space_group_IT_number 123
_space_group_name_Hall '-P 4 2'
loop_
_atom_site_label
_atom_site_type_symbol
_atom_site_fract_x
_atom_site_fract_y
_atom_site_fract_z
Be1 Be 0.000 0.000 0.000
B1 B 0.500 0.500 0.500
O1 O 0.000 0.000 0.500
F1 F 0.000 0.500 0.000
# Formation energy from raw total energies ... -0.9643 eV/atom

# RbBe2BO3F2 | the Alexandria database | PBEsol | optimized geometry
data_RbBe2BO3F2
_cell_length_a 4.4437
_cell_length_b 4.4437
_cell_length_c 19.8338
_cell_angle_alpha 90.00
_cell_angle_beta 90.00
_cell_angle_gamma 120.00
_space_group_name_H-M_alt 'R 3 2'
_space_group_IT_number 155
_space_group_name_Hall 'R 3 2"'
loop_
_atom_site_label
_atom_site_type_symbol
_atom_site_fract_x
_atom_site_fract_y
_atom_site_fract_z
Rb1 Rb 0.0000 0.0000 0.0000
Be1 Be 0.0000 0.0000 0.1954
B1 B 0.0000 0.0000 0.5000
O1 O 0.0000 0.6904 0.5000
F1 F 0.0000 0.0000 0.2728
# Formation energy from raw total energies ... -2.8485 eV/atom

# BeFe2B | the Alexandria database | PBEsol | optimized geometry
data_BeFe2B
_cell_length_a 5.039
_cell_length_b 5.039
_cell_length_c 5.039
_cell_angle_alpha 90.00
_cell_angle_beta 90.00
_cell_angle_gamma 90.00
_space_group_name_H-M_alt 'F m -3 m'
_space_group_IT_number 225
_space_group_name_Hall '-F 4 2 3'
loop_
_atom_site_label
_atom_site_type_symbol
_atom_site_fract_x
_atom_site_fract_y
_atom_site_fract_z
Be1 Be 0.000 0.000 0.000
Fe1 Fe 0.250 0.250 0.250
B1 B 0.000 0.000 0.500
# Formation enthalpy at 0 K ... -0.846 eV/f.u.

# BeFe2B2 | the Alexandria database | PBEsol | optimized geometry
data_BeFe2B2
_cell_length_a 5.208
_cell_length_b 5.208
_cell_length_c 2.790
_cell_angle_alpha 90.00
_cell_angle_beta 90.00
_cell_angle_gamma 90.00
_space_group_name_H-M_alt 'P 4/m b m'
_space_group_IT_number 127
_space_group_name_Hall '-P 4 2ab'
loop_
_atom_site_label
_atom_site_type_symbol
_atom_site_fract_x
_atom_site_fract_y
_atom_site_fract_z
Be1 Be 0.000 0.000 0.000
Fe1 Fe 0.174 0.326 0.500
B1 B 0.120 0.620 0.000
# Formation enthalpy at 0 K ... -2.435 eV/f.u.

# BeGa3B | the Alexandria database | PBEsol | optimized geometry
data_BeGa3B
_cell_length_a 4.270
_cell_length_b 4.270
_cell_length_c 4.270
_cell_angle_alpha 90.00
_cell_angle_beta 90.00
_cell_angle_gamma 90.00
_space_group_name_H-M_alt 'P m -3 m'
_space_group_IT_number 221
_space_group_name_Hall '-P 4 2 3'
loop_
_atom_site_label
_atom_site_type_symbol
_atom_site_fract_x
_atom_site_fract_y
_atom_site_fract_z
Be1 Be 0.000 0.000 0.000
Ga1 Ga 0.000 0.500 0.500
B1 B 0.500 0.500 0.500
# Formation enthalpy at 0 K ... 3.592 eV/f.u.

# BeGaB3 | the Alexandria database | PBEsol | optimized geometry
data_BeGaB3
_cell_length_a 4.053
_cell_length_b 4.053
_cell_length_c 4.053
_cell_angle_alpha 90.00
_cell_angle_beta 90.00
_cell_angle_gamma 90.00
_space_group_name_H-M_alt 'P m -3 m'
_space_group_IT_number 221
_space_group_name_Hall '-P 4 2 3'
loop_
_atom_site_label
_atom_site_type_symbol
_atom_site_fract_x
_atom_site_fract_y
_atom_site_fract_z
Be1 Be 0.000 0.000 0.000
Ga1 Ga 0.500 0.500 0.500
B1 B 0.000 0.500 0.500
# Formation enthalpy at 0 K ... 10.987 eV/f.u.

# BeGeB2Pb | the Alexandria database | PBEsol | optimized geometry
data_BeGeB2Pb
_cell_length_a 3.958
_cell_length_b 3.958
_cell_length_c 4.807
_cell_angle_alpha 90.00
_cell_angle_beta 90.00
_cell_angle_gamma 90.00
_space_group_name_H-M_alt 'P 4/m m m'
_space_group_IT_number 123
_space_group_name_Hall '-P 4 2'
loop_
_atom_site_label
_atom_site_type_symbol
_atom_site_fract_x
_atom_site_fract_y
_atom_site_fract_z
Be1 Be 0.000 0.000 0.000
Ge1 Ge 0.000 0.000 0.500
B1 B 0.000 0.500 0.000
Pb1 Pb 0.500 0.500 0.500
# Formation enthalpy at 0 K ... 6.325 eV/f.u.

A plane-wave DFT calculation with PBEsol was carried out for a relaxed structure of BeB2H8.

Structure (CIF):
```
data_BeB2H8
_cell_length_a 13.149
_cell_length_b 13.149
_cell_length_c 8.395
_cell_angle_alpha 90.00
_cell_angle_beta 90.00
_cell_angle_gamma 90.00
_space_group_name_H-M_alt 'I 41 c d'
_space_group_IT_number 110
_space_group_name_Hall 'I 4bw -2c'
loop_
_atom_site_label
_atom_site_type_symbol
_atom_site_fract_x
_atom_site_fract_y
_atom_site_fract_z
Be1 Be 0.081 0.302 0.000
B1 B 0.059 0.338 0.508
B2 B 0.133 0.190 0.871
H1 H 0.002 0.360 0.897
H2 H 0.009 0.297 0.619
H3 H 0.079 0.176 0.988
H4 H 0.084 0.093 0.310
H5 H 0.090 0.148 0.759
H6 H 0.118 0.275 0.457
H7 H 0.146 0.279 0.832
H8 H 0.157 0.282 0.156
```

A plane-wave DFT calculation with PBEsol was carried out for a relaxed structure of BeB2H.

Structure (CIF):
```
data_BeB2H
_cell_length_a 4.563
_cell_length_b 4.563
_cell_length_c 4.563
_cell_angle_alpha 90.00
_cell_angle_beta 90.00
_cell_angle_gamma 90.00
_space_group_name_H-M_alt 'F m -3 m'
_space_group_IT_number 225
_space_group_name_Hall '-F 4 2 3'
loop_
_atom_site_label
_atom_site_type_symbol
_atom_site_fract_x
_atom_site_fract_y
_atom_site_fract_z
Be1 Be 0.000 0.000 0.000
B1 B 0.250 0.250 0.250
H1 H 0.000 0.000 0.500
```

A plane-wave DFT calculation with PBEsol was carried out for a relaxed structure of BeBH2.

Structure (CIF):
```
data_BeBH2
_cell_length_a 2.974
_cell_length_b 2.974
_cell_length_c 10.094
_cell_angle_alpha 90.00
_cell_angle_beta 90.00
_cell_angle_gamma 90.00
_space_group_name_H-M_alt 'I -4 2 d'
_space_group_IT_number 122
_space_group_name_Hall 'I -4 2bw'
loop_
_atom_site_label
_atom_site_type_symbol
_atom_site_fract_x
_atom_site_fract_y
_atom_site_fract_z
Be1 Be 0.000 0.000 0.000
B1 B 0.000 0.000 0.500
H1 H 0.112 0.750 0.625
```

A plane-wave DFT calculation with PBEsol was carried out for a relaxed structure of BeBH3.

Structure (CIF):
```
data_BeBH3
_cell_length_a 3.053
_cell_length_b 3.053
_cell_length_c 3.053
_cell_angle_alpha 90.00
_cell_angle_beta 90.00
_cell_angle_gamma 90.00
_space_group_name_H-M_alt 'P m -3 m'
_space_group_IT_number 221
_space_group_name_Hall '-P 4 2 3'
loop_
_atom_site_label
_atom_site_type_symbol
_atom_site_fract_x
_atom_site_fract_y
_atom_site_fract_z
Be1 Be 0.000 0.000 0.000
B1 B 0.500 0.500 0.500
H1 H 0.000 0.000 0.500
```

no.,total moment (μB per formula unit),final energy (eV/atom),V (Å³/f.u.)
1,0.0,-6.819,106.5
2,0.0,-4.988,43.1
3,0.0,-6.809,113.1
4,2.0,-7.447,32.0
5,2.0,-7.679,37.8
6,0.0,-3.489,77.9
7,0.0,-3.480,66.6
8,0.0,-4.129,75.3
9,0.0,-4.131,90.7
10,0.0,-4.194,23.7
11,0.0,-3.690,22.3
12,0.0,-3.097,28.5